Material: SrDyGa2
Method: DFT, PBE
State: optimized geometry

Output
DOS(E_F), states/eV per cell: 1.7
Symmetry: P4/mmm (123)

Cell: 3.724 3.724 7.478 Å, 90.00 90.00 90.00°
Fractional positions:
Sr (0.000, 0.000, 0.000)
Dy (0.000, 0.000, 0.500)
Ga (0.500, 0.500, 0.284)
Ga (0.500, 0.500, 0.716)



Material: Hf2MnPb2
Method: DFT, PBE
State: optimized geometry

Output
DOS(E_F), states/eV per cell: 7.9
Symmetry: P4/mbm (127)

Cell: 7.264 7.264 4.246 Å, 90.00 90.00 90.00°
Fractional positions:
Hf (0.160, 0.340, 0.000)
Hf (0.340, 0.840, 0.000)
Hf (0.660, 0.160, 0.000)
Hf (0.840, 0.660, 0.000)
Mn (0.000, 0.000, 0.500)
Mn (0.500, 0.500, 0.500)
Pb (0.148, 0.648, 0.500)
Pb (0.352, 0.148, 0.500)
Pb (0.648, 0.852, 0.500)
Pb (0.852, 0.352, 0.500)



| no. | raw total energy (eV/cell) | energy relative to the elements (eV/atom) |
| --- | --- | --- |
| 1 | -14.226 | -0.472 |
| 2 | -69.915 | 0.307 |